{"formula": "ScAs5", "functional": "PBE-GGA", "state": "relaxed", "lattice_angstrom": [[3.624, 0.000, 0.000], [0.000, 3.624, 0.000], [0.000, 0.000, 10.276]], "species": ["Sc", "As", "As", "As", "As", "As"], "frac_coords": [[0.500, 0.500, 0.000], [0.000, 0.000, 0.880], [0.000, 0.000, 0.120], [0.500, 0.500, 0.619], [0.500, 0.500, 0.381], [0.000, 0.000, 0.500]], "relative_energy_kj_per_mol_atoms": 5.0, "formation_energy_ev_per_fu": -0.99}


{"formula": "ZrFe2Tc", "functional": "PBE-GGA", "state": "relaxed", "lattice_angstrom": [[-2.437, 3.502, 0.540], [-1.387, -1.546, 3.766], [2.410, 1.448, 1.482]], "species": ["Fe", "Fe", "Tc", "Zr"], "frac_coords": [[0.000, 0.000, 0.000], [0.500, 0.500, 0.000], [0.500, 0.000, 0.500], [0.000, 0.500, 0.500]], "relative_energy_kj_per_mol_atoms": 0.8, "formation_energy_ev_per_fu": 0.06}


{"formula": "CsAgH4", "functional": "PBE-GGA", "state": "relaxed", "lattice_angstrom": [[-3.970, 0.457, 2.603], [-2.039, -5.738, -2.103], [5.959, -0.212, 4.658]], "species": ["Cs", "Cs", "Ag", "Ag", "H", "H", "H", "H", "H", "H", "H", "H"], "frac_coords": [[0.045, 0.162, 0.324], [0.955, 0.838, 0.676], [0.678, 0.436, 0.872], [0.322, 0.564, 0.128], [0.688, 0.312, 0.623], [0.498, 0.359, 0.181], [0.000, 0.335, 0.000], [0.502, 0.177, 0.819], [0.312, 0.688, 0.377], [0.502, 0.641, 0.819], [0.000, 0.665, 0.000], [0.498, 0.823, 0.181]], "total_energy_ev_per_cell": -31.5}


{"formula": "BaAlZnHg2", "functional": "PBE-GGA", "state": "relaxed", "lattice_angstrom": [[5.324, 0.000, 0.000], [0.000, 5.324, 0.000], [0.000, 0.000, 5.081]], "species": ["Zn", "Al", "Hg", "Hg", "Ba"], "frac_coords": [[0.000, 0.000, 0.500], [0.000, 0.000, 0.000], [0.000, 0.500, 0.000], [0.500, 0.000, 0.000], [0.500, 0.500, 0.500]], "formation_energy_ev_per_fu": -0.77}


{"formula": "YPSeO2", "functional": "PBE-GGA", "state": "relaxed", "lattice_angstrom": [[-1.952, -2.972, 1.897], [1.631, -2.684, -2.526], [3.730, -0.544, 2.986]], "species": ["Y", "P", "O", "O", "Se"], "frac_coords": [[0.500, 0.500, 0.500], [0.000, 0.000, 0.500], [0.000, 0.500, 0.000], [0.500, 0.000, 0.000], [0.000, 0.000, 0.000]], "relative_energy_kj_per_mol_atoms": 0.0, "e_form_raw_ev_per_atom": -0.8264}


{"formula": "LiPtCl", "functional": "PBE-GGA", "state": "relaxed", "lattice_angstrom": [[-1.460, 0.206, 2.404], [-1.302, -0.776, -2.378], [1.529, -7.327, 1.555]], "species": ["Cl", "Li", "Pt"], "frac_coords": [[0.000, 0.000, 0.092], [0.667, 0.333, 0.315], [0.333, 0.667, 0.593]], "relative_energy_kj_per_mol_atoms": 42.8, "e_form_raw_ev_per_atom": -0.3831}


{"formula": "NiMo2H", "functional": "PBE-GGA", "state": "relaxed", "lattice_angstrom": [[-0.219, -2.745, -0.191], [0.353, -1.247, -2.437], [7.267, -2.003, 0.513]], "species": ["Ni", "Mo", "Mo", "H"], "frac_coords": [[0.000, 0.000, 0.000], [0.110, 0.110, 0.669], [0.890, 0.890, 0.331], [0.500, 0.500, 0.500]], "relative_energy_kj_per_mol_atoms": 26.8}


{"formula": "K4Y3HfSe8", "functional": "PBE-GGA", "state": "relaxed", "lattice_angstrom": [[8.263, 0.000, 0.000], [0.000, 9.043, 0.541], [-4.132, -4.128, 5.847]], "species": ["K", "K", "K", "K", "Y", "Y", "Y", "Hf", "Se", "Se", "Se", "Se", "Se", "Se", "Se", "Se"], "frac_coords": [[0.500, 0.000, 0.000], [0.500, 0.000, 0.500], [0.000, 0.000, 0.000], [0.000, 0.000, 0.500], [0.500, 0.500, 0.000], [0.500, 0.500, 0.500], [0.000, 0.500, 0.500], [0.000, 0.500, 0.000], [0.227, 0.703, 0.976], [0.227, 0.703, 0.453], [0.264, 0.291, 0.527], [0.750, 0.703, 0.976], [0.250, 0.297, 0.024], [0.736, 0.709, 0.473], [0.773, 0.297, 0.547], [0.773, 0.297, 0.024]], "e_form_raw_ev_per_atom": -1.6308}


> Which formula does entry 3 have?

CsAgH4